Entry 1:
Material: Zn2InP
Method: DFT, SCAN
State: PBEsol geometry

SG: P4mm (99)
formation energy from the elements: 16.99 kJ/mol of atoms

Cell lengths 3.460, 3.460, 6.232 Å; angles 90.00, 90.00, 90.00 degrees
Fractional coordinates of all 4 atoms:
In1 0.000 0.000 0.471
Zn1 0.500 0.500 0.246
Zn2 0.000 0.000 0.913
P1 0.500 0.500 0.870

Entry 2:
Material: YBeTc2Au
Method: DFT, SCAN
State: PBEsol geometry

SG: P4/mmm (123)
formation energy from the elements: 88.16 kJ/mol of atoms

Cell lengths 4.109, 4.923, 4.923 Å; angles 90.00, 90.00, 90.00 degrees
Last column: magnetic moment on the atom in μB.
Fractional coordinates of all 5 atoms:
Tc1 0.000 0.000 0.500  1.60
Tc2 0.000 0.500 0.000  1.60
Y1 0.500 0.500 0.500  -0.12
Be1 0.500 0.000 0.000  -0.07
Au1 0.000 0.000 0.000  0.19